a | # VPCl2 (PBE, relaxed)
# magnetization	6.0	μB/f.u.
# D(E_F)	8.98	states/eV/cell
data_VPCl2
_cell_length_a 7.612
_cell_length_b 7.612
_cell_length_c 9.138
_cell_angle_alpha 90.00
_cell_angle_beta 90.00
_cell_angle_gamma 90.00
_space_group_name_H-M_alt 'I -4 2 d'
_space_group_IT_number 122
_space_group_name_Hall 'I -4 2bw'
loop_
_atom_site_label
_atom_site_type_symbol
_atom_site_fract_x
_atom_site_fract_y
_atom_site_fract_z
V1 V 0.000 0.000 0.000
P1 P 0.000 0.000 0.500
Cl1 Cl 0.103 0.250 0.125

=====

b | # VPCl2 (PBE, relaxed)
# magnetization	0.6	μB/f.u.
# D(E_F)	10.83	states/eV/cell
data_VPCl2
_cell_length_a 3.0320
_cell_length_b 3.0320
_cell_length_c 33.3161
_cell_angle_alpha 90.00
_cell_angle_beta 90.00
_cell_angle_gamma 120.00
_space_group_name_H-M_alt 'R -3 m'
_space_group_IT_number 166
_space_group_name_Hall '-R 3 2"'
loop_
_atom_site_label
_atom_site_type_symbol
_atom_site_fract_x
_atom_site_fract_y
_atom_site_fract_z
V1 V 0.0000 0.0000 0.0000
P1 P 0.0000 0.0000 0.5000
Cl1 Cl 0.0000 0.0000 0.3817

=====

c | # VPCl2 (PBE, relaxed)
# magnetization	1.6	μB/f.u.
# D(E_F)	13.14	states/eV/cell
data_VPCl2
_cell_length_a 3.1148
_cell_length_b 3.1148
_cell_length_c 26.9589
_cell_angle_alpha 90.00
_cell_angle_beta 90.00
_cell_angle_gamma 120.00
_space_group_name_H-M_alt 'R -3 m'
_space_group_IT_number 166
_space_group_name_Hall '-R 3 2"'
loop_
_atom_site_label
_atom_site_type_symbol
_atom_site_fract_x
_atom_site_fract_y
_atom_site_fract_z
V1 V 0.0000 0.0000 0.0000
P1 P 0.0000 0.0000 0.5000
Cl1 Cl 0.0000 0.0000 0.0814

=====

Each structure's energy above the most stable one, in meV/atom: a 399; b 0; c 545.